# 1
Re2TcP, PBEsol geometry, DFT meta-GGA SCAN; density = 15.3 g/cm3; final energy = -46.592 eV/atom; SG = I-4m2, No. 119; energy of formation = 321 meV per atom
1.0
-1.8455 1.8455 4.0073
1.8455 -1.8455 4.0073
1.8455 1.8455 -4.0073
Re Tc P
2 1 1
Cartesian
0.0000 0.0000 0.0000 Re
0.0000 1.8455 2.0037 Re
0.0000 0.0000 4.0073 Tc
1.8455 0.0000 2.0037 P

=====

# 2
Re2TcP, PBEsol geometry, DFT meta-GGA SCAN; density = 15.1 g/cm3; final energy = -46.950 eV/atom; SG = Amm2, No. 38; energy of formation = -36 meV per atom
1.0
3.8232 0.0000 0.0000
0.0000 1.4052 5.1471
0.0000 -1.4052 5.1471
Re Tc P
2 1 1
Cartesian
0.0000 0.0000 0.0000 Re
1.9116 0.0000 3.8099 Re
0.0000 0.0000 7.5261 Tc
1.9116 0.0000 1.4758 P

=====

# 3
ReTcP3, PBEsol geometry, DFT meta-GGA SCAN; density = 6.7 g/cm3; final energy = -26.276 eV/atom; SG = Pm-3m, No. 221; energy of formation = 1195 meV per atom
1.0
4.5443 0.0000 0.0000
0.0000 4.5443 0.0000
0.0000 0.0000 4.5443
Re Tc P
1 1 3
Cartesian
0.0000 0.0000 0.0000 Re
2.2721 2.2721 2.2721 Tc
0.0000 0.0000 2.2721 P
0.0000 2.2721 0.0000 P
2.2721 0.0000 0.0000 P

=====

# 4
Re2TeP, PBEsol geometry, DFT meta-GGA SCAN; density = 13.6 g/cm3; final energy = -46.280 eV/atom; excess energy over the best structure of this formula in the dataset = 917 meV/atom; uncorrected formation energy = 1.182 eV per atom; SG = Pmmm, No. 47
1.0
3.0812 0.0000 0.0000
0.0000 4.1521 0.0000
0.0000 0.0000 5.0696
Re Te P
2 1 1
Cartesian
0.0000 0.0000 0.0000 Re
1.5406 0.0000 2.5348 Re
0.0000 2.0760 2.5348 Te
1.5406 2.0760 0.0000 P

=====

# 5
ReTe2P, PBEsol geometry, DFT meta-GGA SCAN; density = 9.0 g/cm3; final energy = -38.508 eV/atom; uncorrected formation energy = 0.492 eV per atom; SG = Imm2, No. 44
1.0
-1.5731 2.4138 5.7245
1.5731 -2.4138 5.7245
1.5731 2.4138 -5.7245
Re Te P
1 2 1
Cartesian
0.0000 0.0000 0.0000 Re
0.0000 0.0000 5.9131 Te
0.0000 2.4138 3.4332 Te
1.5731 0.0000 1.7841 P

=====

# 6
ReTe2P, PBEsol geometry, DFT meta-GGA SCAN; density = 9.6 g/cm3; final energy = -38.668 eV/atom; uncorrected formation energy = 0.331 eV per atom; SG = Amm2, No. 38
1.0
4.3314 0.0000 0.0000
0.0000 2.5999 3.6137
0.0000 -2.5999 3.6137
Re Te P
1 2 1
Cartesian
0.0000 0.0000 0.0000 Re
0.0000 0.0000 2.9407 Te
2.1657 0.0000 5.5060 Te
2.1657 0.0000 1.0317 P

=====

# 7
Re2TeP, PBEsol geometry, DFT meta-GGA SCAN; density = 13.2 g/cm3; final energy = -47.081 eV/atom; excess energy over the best structure of this formula in the dataset = 115 meV/atom; uncorrected formation energy = 0.380 eV per atom; SG = C2/m, No. 12
1.0
3.7466 -1.5369 0.0000
3.7466 1.5369 0.0000
-1.2697 0.0000 5.8041
Re Te P
2 1 1
Cartesian
1.5138 0.0000 1.0322 Re
4.7096 0.0000 4.7720 Re
-0.6348 0.0000 2.9021 Te
3.7466 0.0000 0.0000 P

=====

# 8
Re2TeP, PBEsol geometry, DFT meta-GGA SCAN; density = 14.5 g/cm3; final energy = -46.972 eV/atom; excess energy over the best structure of this formula in the dataset = 224 meV/atom; uncorrected formation energy = 0.489 eV per atom; SG = P4/mmm, No. 123
1.0
3.0834 0.0000 0.0000
0.0000 3.0834 0.0000
0.0000 0.0000 6.3841
Re Te P
2 1 1
Cartesian
0.0000 0.0000 1.3606 Re
0.0000 0.0000 5.0235 Re
1.5417 1.5417 3.1920 Te
1.5417 1.5417 0.0000 P

=====

# 9
Re2TeP, PBEsol geometry, DFT meta-GGA SCAN; density = 13.8 g/cm3; final energy = -46.866 eV/atom; excess energy over the best structure of this formula in the dataset = 331 meV/atom; uncorrected formation energy = 0.596 eV per atom; SG = Imm2, No. 44
1.0
-1.5632 1.9626 5.2054
1.5632 -1.9626 5.2054
1.5632 1.9626 -5.2054
Re Te P
2 1 1
Cartesian
0.0000 0.0000 0.0000 Re
0.0000 1.9626 2.3140 Re
1.5632 0.0000 3.2493 Te
0.0000 0.0000 5.7627 P

=====

# 10
Re2TeP, PBEsol geometry, DFT meta-GGA SCAN; density = 13.5 g/cm3; final energy = -47.196 eV/atom; excess energy over the best structure of this formula in the dataset = 0 meV/atom; uncorrected formation energy = 0.265 eV per atom; SG = Pmm2, No. 25
1.0
3.0971 0.0000 0.0000
0.0000 4.4715 0.0000
0.0000 0.0000 4.7106
Re Te P
2 1 1
Cartesian
0.0000 0.0000 0.0000 Re
1.5486 2.2357 0.9149 Re
0.0000 2.2357 3.2404 Te
1.5486 0.0000 1.7988 P

=====

# 11
TiRe3P, PBEsol geometry, DFT meta-GGA SCAN; density = 13.1 g/cm3; final energy = -47.407 eV/atom; SG = Pm-3m, No. 221; energy of formation = 537 meV per atom
1.0
4.3213 0.0000 0.0000
0.0000 4.3213 0.0000
0.0000 0.0000 4.3213
Ti Re P
1 3 1
Cartesian
0.0000 0.0000 0.0000 Ti
0.0000 2.1606 2.1606 Re
2.1606 0.0000 2.1606 Re
2.1606 2.1606 0.0000 Re
2.1606 2.1606 2.1606 P

=====

# 12
YTi2ReP, PBEsol geometry, DFT meta-GGA SCAN; density = 6.8 g/cm3; final energy = -28.050 eV/atom; SG = P4/mmm, No. 123; energy of formation = 230 meV per atom
1.0
4.4305 0.0000 0.0000
0.0000 4.4305 0.0000
0.0000 0.0000 5.0080
Y Ti Re P
1 2 1 1
Cartesian
0.0000 0.0000 0.0000 Y
0.0000 2.2152 2.5040 Ti
2.2152 0.0000 2.5040 Ti
2.2152 2.2152 0.0000 Re
0.0000 0.0000 2.5040 P

=====

no.,magnetic moment (μB/atom)
1,0.000
2,0.000
3,0.475
4,0.000
5,0.000
6,0.000
7,0.000
8,0.000
9,0.000
10,0.000
11,0.000
12,0.000